Entry 1:
VASP calculation (PBE) on an optimized crystal structure of Ca4MnRe.

Density of states at the Fermi level = 43.23 states/eV/cell
V = 27.280 Å³/atom
Formation energy = 1.3198 eV per atom
Total DFT energy (no corrections) = -3.6175 eV/atom

abc: 8.6833 8.6833 8.6833
angles: 90.00 90.00 90.00
With the nearest neighbours (Å) after each atom.
Space group F-43m (No. 216)
Symmetry-distinct sites (fractional):
Ca 0.1240 0.1240 0.3760 x16  6 Ca 3.04-3.10
Mn 0.0000 0.0000 0.0000 x4  12 Ca 3.60, 4 Re 3.76
Re 0.2500 0.2500 0.7500 x4  12 Ca 3.60, 4 Mn 3.76


Entry 2:
VASP calculation (PBE) on an optimized crystal structure of Ca2MnRe.

Density of states at the Fermi level = 7.73 states/eV/cell
V = 20.718 Å³/atom
Formation energy = 0.9040 eV per atom
Total DFT energy (no corrections) = -5.5012 eV/atom
Offset from the most stable computed form = 0.595 eV/atom

abc: 10.0594 2.8503 5.8009
angles: 90.00 94.79 90.00
With the nearest neighbours (Å) after each atom.
Space group C2/m (No. 12)
Symmetry-distinct sites (fractional):
Ca 0.2451 0.0000 0.2438 x4  4 Ca 2.85-3.18, 3 Mn 2.98-3.19, 3 Re 3.03-3.09
Mn 0.0000 0.0000 0.5000 x2  2 Mn 2.85, 6 Ca 2.98-3.19
Re 0.0000 0.5000 0.0000 x2  2 Re 2.85, 6 Ca 3.03-3.09


Entry 3:
VASP calculation (PBE) on an optimized crystal structure of CaMnRe3.

Density of states at the Fermi level = 6.45 states/eV/cell
V = 18.640 Å³/atom
Formation energy = 1.1988 eV per atom
Total DFT energy (no corrections) = -8.5043 eV/atom
Offset from the most stable computed form = 0.000 eV/atom

abc: 4.5339 4.5339 4.5339
angles: 90.00 90.00 90.00
With the nearest neighbours (Å) after each atom.
Space group Pm-3m (No. 221)
Symmetry-distinct sites (fractional):
Ca 0.0000 0.0000 0.0000 x1  12 Re 3.21
Mn 0.5000 0.5000 0.5000 x1  6 Re 2.27
Re 0.0000 0.5000 0.5000 x3  2 Mn 2.27


Entry 4:
VASP calculation (PBE) on an optimized crystal structure of CaMnRe2.

Density of states at the Fermi level = 12.96 states/eV/cell
V = 15.930 Å³/atom
Formation energy = 0.6085 eV per atom
Total DFT energy (no corrections) = -8.4084 eV/atom
Offset from the most stable computed form = 0.127 eV/atom

abc: 2.7975 2.7975 28.2063
angles: 90.00 90.00 120.00
With the nearest neighbours (Å) after each atom.
Space group R-3m (No. 166, hexagonal axes)
Symmetry-distinct sites (fractional):
Ca 0.0000 0.0000 0.0000 x3  6 Ca 2.80, 6 Re 3.13
Mn 0.0000 0.0000 0.5000 x3  6 Re 2.58, 6 Mn 2.80
Re 0.0000 0.0000 0.2382 x6  3 Mn 2.58, 6 Re 2.80


Entry 5:
VASP calculation (PBE) on an optimized crystal structure of Ca2MnRe.

Density of states at the Fermi level = 4.88 states/eV/cell
V = 21.366 Å³/atom
Formation energy = 0.8526 eV per atom
Total DFT energy (no corrections) = -5.5526 eV/atom
Offset from the most stable computed form = 0.543 eV/atom

abc: 4.3262 4.3262 9.1327
angles: 90.00 90.00 90.00
With the nearest neighbours (Å) after each atom.
Space group I4/mmm (No. 139)
Symmetry-distinct sites (fractional):
Ca 0.0000 0.5000 0.2500 x4  4 Ca 3.06, 4 Mn 3.15, 4 Re 3.15
Mn 0.0000 0.0000 0.0000 x2  4 Re 3.06, 8 Ca 3.15
Re 0.0000 0.0000 0.5000 x2  4 Mn 3.06, 8 Ca 3.15


Entry 6:
VASP calculation (PBE) on an optimized crystal structure of Ca2MnRe.

Density of states at the Fermi level = 2.65 states/eV/cell
V = 22.040 Å³/atom
Formation energy = 0.8951 eV per atom
Total DFT energy (no corrections) = -5.5101 eV/atom
Offset from the most stable computed form = 0.586 eV/atom

abc: 5.4818 5.4818 2.9338
angles: 90.00 90.00 90.00
With the nearest neighbours (Å) after each atom.
Space group P4/mmm (No. 123)
Symmetry-distinct sites (fractional):
Ca 0.0000 0.5000 0.0000 x2  2 Ca 2.93, 4 Re 3.11, 4 Mn 3.11
Mn 0.0000 0.0000 0.5000 x1  2 Mn 2.93, 8 Ca 3.11
Re 0.5000 0.5000 0.5000 x1  2 Re 2.93, 8 Ca 3.11


Entry 7:
VASP calculation (PBE) on an optimized crystal structure of Ca2MnRe.

Density of states at the Fermi level = 8.12 states/eV/cell
V = 20.843 Å³/atom
Formation energy = 0.8303 eV per atom
Total DFT energy (no corrections) = -5.5749 eV/atom
Offset from the most stable computed form = 0.521 eV/atom

abc: 6.0911 9.5051 2.8800
angles: 90.00 90.00 90.00
With the nearest neighbours (Å) after each atom.
Space group Cmmm (No. 65)
Symmetry-distinct sites (fractional):
Ca 0.2500 0.2500 0.0000 x4  4 Ca 2.88-3.05, 4 Mn 3.17, 4 Re 3.17
Mn 0.0000 0.0000 0.5000 x2  2 Mn 2.88, 2 Re 3.05, 8 Ca 3.17
Re 0.0000 0.5000 0.5000 x2  2 Re 2.88, 2 Mn 3.05, 8 Ca 3.17


Entry 8:
VASP calculation (PBE) on an optimized crystal structure of Ca2MnRe.

Density of states at the Fermi level = 63.40 states/eV/cell
V = 20.790 Å³/atom
Formation energy = 1.3963 eV per atom
Total DFT energy (no corrections) = -5.0089 eV/atom
Offset from the most stable computed form = 1.087 eV/atom

abc: 6.9288 6.9288 6.9288
angles: 90.00 90.00 90.00
With the nearest neighbours (Å) after each atom.
Space group Fm-3m (No. 225)
Symmetry-distinct sites (fractional):
Ca 0.2500 0.2500 0.2500 x8  4 Mn 3.00, 4 Re 3.00
Mn 0.0000 0.0000 0.0000 x4  8 Ca 3.00
Re 0.0000 0.0000 0.5000 x4  8 Ca 3.00


Entry 9:
VASP calculation (PBE) on an optimized crystal structure of CaMnRe2.

Density of states at the Fermi level = 4.95 states/eV/cell
V = 16.080 Å³/atom
Formation energy = 0.4841 eV per atom
Total DFT energy (no corrections) = -8.5327 eV/atom
Offset from the most stable computed form = 0.003 eV/atom

abc: 3.2563 4.3129 9.1598
angles: 90.00 90.00 90.00
With the nearest neighbours (Å) after each atom.
Space group Cmmm (No. 65)
Symmetry-distinct sites (fractional):
Ca 0.0000 0.0000 0.0000 x2  4 Ca 2.70
Mn 0.0000 0.0000 0.5000 x2  4 Re 2.56, 4 Mn 2.70
Re 0.0000 0.5000 0.2846 x4  2 Mn 2.56, 4 Re 2.70


Entry 10:
VASP calculation (PBE) on an optimized crystal structure of CaMnRe2.

Density of states at the Fermi level = 10.35 states/eV/cell
V = 15.242 Å³/atom
Formation energy = 0.9244 eV per atom
Total DFT energy (no corrections) = -8.0924 eV/atom
Offset from the most stable computed form = 0.443 eV/atom

abc: 6.2477 6.2477 6.2477
angles: 90.00 90.00 90.00
With the nearest neighbours (Å) after each atom.
Space group Fm-3m (No. 225)
Symmetry-distinct sites (fractional):
Ca 0.0000 0.0000 0.0000 x4  8 Re 2.71
Mn 0.0000 0.0000 0.5000 x4  8 Re 2.71
Re 0.2500 0.2500 0.2500 x8  4 Mn 2.71, 4 Ca 2.71


Entry 11:
VASP calculation (PBE) on an optimized crystal structure of Ca2MnRe.

Density of states at the Fermi level = 4.74 states/eV/cell
V = 22.479 Å³/atom
Formation energy = 0.3723 eV per atom
Total DFT energy (no corrections) = -6.0329 eV/atom
Offset from the most stable computed form = 0.063 eV/atom

abc: 3.1674 3.1663 8.9653
angles: 90.00 90.06 90.00
With the nearest neighbours (Å) after each atom.
Space group Pm (No. 6)
Symmetry-distinct sites (fractional):
Ca 0.0000 0.0000 0.0000 x1  4 Ca 3.17, 4 Re 3.17-3.18, 1 Mn 3.29
Ca 0.4977 0.5000 0.3888 x1  4 Mn 3.13-3.14, 4 Ca 3.17, 1 Re 3.23
Mn 0.9980 0.0000 0.6335 x1  4 Re 2.47
Re 0.4987 0.5000 0.7490 x1  4 Mn 2.47


Entry 12:
VASP calculation (PBE) on an optimized crystal structure of Ca2MnRe.

Density of states at the Fermi level = 10.04 states/eV/cell
V = 21.118 Å³/atom
Formation energy = 0.8349 eV per atom
Total DFT energy (no corrections) = -5.5703 eV/atom
Offset from the most stable computed form = 0.526 eV/atom

abc: 3.8196 4.4151 10.0181
angles: 90.00 90.00 90.00
With the nearest neighbours (Å) after each atom.
Space group Cmmm (No. 65)
Symmetry-distinct sites (fractional):
Ca 0.0000 0.0000 0.2397 x4  4 Ca 2.92, 4 Re 3.07-3.26, 2 Mn 3.23
Mn 0.0000 0.5000 0.5000 x2  4 Mn 2.92, 4 Ca 3.23
Re 0.0000 0.5000 0.0000 x2  4 Re 2.92, 8 Ca 3.07-3.26


Copy entry 12 word for word.
VASP calculation (PBE) on an optimized crystal structure of Ca2MnRe.

Density of states at the Fermi level = 10.04 states/eV/cell
V = 21.118 Å³/atom
Formation energy = 0.8349 eV per atom
Total DFT energy (no corrections) = -5.5703 eV/atom
Offset from the most stable computed form = 0.526 eV/atom

abc: 3.8196 4.4151 10.0181
angles: 90.00 90.00 90.00
With the nearest neighbours (Å) after each atom.
Space group Cmmm (No. 65)
Symmetry-distinct sites (fractional):
Ca 0.0000 0.0000 0.2397 x4  4 Ca 2.92, 4 Re 3.07-3.26, 2 Mn 3.23
Mn 0.0000 0.5000 0.5000 x2  4 Mn 2.92, 4 Ca 3.23
Re 0.0000 0.5000 0.0000 x2  4 Re 2.92, 8 Ca 3.07-3.26


The lowest total DFT energy (no corrections) belongs to which entry? number 9


Which formula does entry 9 have? CaMnRe2


Copy entry 7 word for word.
VASP calculation (PBE) on an optimized crystal structure of Ca2MnRe.

Density of states at the Fermi level = 8.12 states/eV/cell
V = 20.843 Å³/atom
Formation energy = 0.8303 eV per atom
Total DFT energy (no corrections) = -5.5749 eV/atom
Offset from the most stable computed form = 0.521 eV/atom

abc: 6.0911 9.5051 2.8800
angles: 90.00 90.00 90.00
With the nearest neighbours (Å) after each atom.
Space group Cmmm (No. 65)
Symmetry-distinct sites (fractional):
Ca 0.2500 0.2500 0.0000 x4  4 Ca 2.88-3.05, 4 Mn 3.17, 4 Re 3.17
Mn 0.0000 0.0000 0.5000 x2  2 Mn 2.88, 2 Re 3.05, 8 Ca 3.17
Re 0.0000 0.5000 0.5000 x2  2 Re 2.88, 2 Mn 3.05, 8 Ca 3.17